[1]
A plane-wave DFT calculation with PBE was carried out for a relaxed Nd5Dy8Y crystal.

Calculated values
As for the total magnetization: 0.00 Bohr magnetons per cell. The density of states at the Fermi level comes out at 1.511 states/eV per atom. Its energy relative to the elements is 0.0463 eV/atom.

Cell lengths 17.409, 3.561, 16.940 Å; angles 90.00, 118.28, 90.00 degrees
Space group C2/m (No. 12)
Asymmetric unit:
Nd  0.000  0.000  0.000 [2 per cell]
Nd  0.145  0.500  0.940 [4 per cell]
Nd  0.214  0.500  0.644 [4 per cell]
Dy  0.078  0.000  0.722 [4 per cell]
Dy  0.082  0.500  0.224 [4 per cell]
Dy  0.147  0.000  0.441 [4 per cell]
Dy  0.217  0.000  0.146 [4 per cell]
Y  0.000  0.500  0.500 [2 per cell]



[2]
A plane-wave DFT calculation with PBE was carried out for a relaxed NdDy9Y2 crystal.

Calculated values
As for the energy relative to the lowest polymorph listed for this composition: 23.1 meV/atom. As for the total magnetization: 0.00 Bohr magnetons per cell. The density of states at the Fermi level comes out at 1.371 states/eV per atom. Its energy relative to the elements is 0.0456 eV/atom.

Cell lengths 11.2661, 11.2661, 3.5076 Å; angles 90.00, 90.00, 120.00 degrees
Space group P6/mmm (No. 191)
Asymmetric unit:
Nd  0.0000  0.0000  0.0000 [1 per cell]
Dy  0.0000  0.5000  0.0000 [3 per cell]
Dy  0.1772  0.3543  0.5000 [6 per cell]
Y  0.3333  0.6667  0.0000 [2 per cell]



[3]
A plane-wave DFT calculation with PBE was carried out for a relaxed NdDy5Y crystal.

Calculated values
As for the energy relative to the lowest polymorph listed for this composition: 0.0 meV/atom. As for the total magnetization: 0.00 Bohr magnetons per cell. The density of states at the Fermi level comes out at 1.172 states/eV per atom. Its energy relative to the elements is 0.1845 eV/atom.

Cell lengths 11.733, 6.769, 12.203 Å; angles 90.00, 110.06, 90.00 degrees
Space group C2/c (No. 15)
Asymmetric unit:
Nd  0.000  0.029  0.250 [4 per cell]
Dy  0.000  0.411  0.750 [4 per cell]
Dy  0.079  0.268  0.500 [8 per cell]
Dy  0.219  0.366  0.248 [8 per cell]
Y  0.250  0.250  0.000 [4 per cell]



[4]
A plane-wave DFT calculation with PBE was carried out for a relaxed Nd7DyY2 crystal.

Calculated values
As for the energy relative to the lowest polymorph listed for this composition: 0.0 meV/atom. As for the total magnetization: 0.00 Bohr magnetons per cell. The density of states at the Fermi level comes out at 1.606 states/eV per atom. Its energy relative to the elements is 0.3869 eV/atom.

Cell lengths 12.145, 16.992, 3.530 Å; angles 90.00, 90.00, 90.00 degrees
Space group Cmmm (No. 65)
Asymmetric unit:
Nd  0.000  0.000  0.000 [2 per cell]
Nd  0.000  0.176  0.500 [4 per cell]
Nd  0.245  0.129  0.000 [8 per cell]
Dy  0.000  0.500  0.500 [2 per cell]
Y  0.000  0.333  0.000 [4 per cell]



[5]
A plane-wave DFT calculation with PBE was carried out for a relaxed Nd4Dy11Y9 crystal.

Calculated values
As for the total magnetization: 0.01 Bohr magnetons per cell. The density of states at the Fermi level comes out at 1.301 states/eV per atom. Its energy relative to the elements is 0.0523 eV/atom.

Cell lengths 16.781, 25.204, 3.702 Å; angles 90.00, 90.00, 90.00 degrees
Space group Cmmm (No. 65)
Asymmetric unit:
Nd  0.154  0.100  0.000 [8 per cell]
Dy  0.000  0.135  0.500 [4 per cell]
Dy  0.000  0.341  0.500 [4 per cell]
Dy  0.000  0.500  0.500 [2 per cell]
Dy  0.211  0.000  0.500 [4 per cell]
Dy  0.227  0.319  0.500 [8 per cell]
Y  0.000  0.000  0.000 [2 per cell]
Y  0.102  0.236  0.000 [8 per cell]
Y  0.139  0.427  0.000 [8 per cell]



[6]
A plane-wave DFT calculation with PBE was carried out for a relaxed NdDy5Y5 crystal.

Calculated values
As for the energy relative to the lowest polymorph listed for this composition: 48.3 meV/atom. As for the total magnetization: 0.00 Bohr magnetons per cell. The density of states at the Fermi level comes out at 1.984 states/eV per atom. Its energy relative to the elements is 0.3444 eV/atom.

Cell lengths 6.0887, 6.0887, 11.6679 Å; angles 90.00, 90.00, 120.00 degrees
Space group P-6m2 (No. 187)
Asymmetric unit:
Nd  0.0000  0.0000  0.0000 [1 per cell]
Dy  0.0000  0.0000  0.3222 [2 per cell]
Dy  0.3333  0.6667  0.1564 [2 per cell]
Dy  0.6667  0.3333  0.0000 [1 per cell]
Y  0.0014  0.5007  0.5000 [3 per cell]
Y  0.6667  0.3333  0.2618 [2 per cell]



What is the energy relative to the elements in the first record? 0.0463 eV/atom



Among the records above, which one has the highest energy relative to the elements? Nd7DyY2